Dy4ErTm4 after structural relaxation. Source: Alexandria, functional GGA-PBE.

Cell: 4.9500 7.8463 7.8463 Å, 84.29 71.61 71.61°
Fractional positions:
Dy 0.6675 0.3325 0.3324
Dy 0.3325 0.6675 0.6676
Dy 0.0000 0.6676 0.3325
Dy 0.0000 0.3324 0.6675
Er 0.0000 0.0000 0.0000
Tm 0.6664 0.6672 0.0000
Tm 0.3336 0.3328 0.0000
Tm 0.6664 0.0000 0.6672
Tm 0.3336 0.0000 0.3328

Calculated values
- Formation enthalpy at 0 K: 0.02 eV per atom
- ρ: 9.03 g/cm³
- Magnetization: 0.00 μB per formula unit